Computed, not measured: a relaxed Ho4Te2AsP crystal at the GGA-PBE level of DFT.

The value obtained for the formation energy from raw total energies is -1505 meV/atom.

```
Ho4Te2AsP
1.0
4.1390 0.0000 0.0000
0.0000 7.1645 0.1200
0.0000 -2.5115 6.9904
Ho Te As P
4 2 1 1
Direct
0.5000 0.2316 0.2113 Ho
0.5000 0.7684 0.7887 Ho
0.0000 0.2555 0.7856 Ho
0.0000 0.7445 0.2144 Ho
0.5000 0.0000 0.5000 Te
0.0000 0.5000 0.5000 Te
0.5000 0.5000 0.0000 As
0.0000 0.0000 0.0000 P
```


Computed, not measured: a relaxed HoThAsP crystal at the GGA-PBE level of DFT.

The calculation puts the energy of formation from the pure elements at -1.38 eV per atom.

```
HoThAsP
1.0
4.0826 -0.0009 0.0003
-2.0412 3.5365 0.0003
-2.0393 -1.1777 7.0034
Ho Th As P
1 1 1 1
Direct
0.9566 0.3763 0.3482 Ho
0.3147 0.5553 0.8852 Th
0.4669 0.1314 0.6133 As
0.1398 0.9679 0.1229 P
```


Computed, not measured: a relaxed YHoAsP crystal at the GGA-PBE level of DFT.

The calculation puts the energy of formation from the pure elements at -1.57 eV per atom.

```
YHoAsP
1.0
4.0570 0.0000 0.0000
0.0000 4.0508 0.2422
0.0000 -0.3427 5.7270
Y Ho As P
1 1 1 1
Direct
0.5000 0.3916 0.5925 Y
0.0000 0.8915 0.0924 Ho
0.0000 0.8916 0.5924 As
0.5000 0.3915 0.0925 P
```


Computed, not measured: a relaxed Ho4PaAs5 crystal at the GGA-PBE level of DFT.

The calculation puts the energy of formation from the pure elements at -1.44 eV per atom.

```
Ho4PaAs5
1.0
1.4494 4.4520 3.4116
-2.8482 -0.2746 6.4869
5.8716 -1.0743 3.8260
Ho Pa As
4 1 5
Direct
0.4016 0.4014 0.7973 Ho
0.8030 0.7973 0.5986 Ho
0.1990 0.2027 0.4014 Ho
0.6003 0.5986 0.2027 Ho
0.0012 0.0000 0.0000 Pa
0.9024 0.3954 0.8018 As
0.2978 0.8018 0.6046 As
0.7042 0.1982 0.3954 As
0.0996 0.6046 0.1982 As
0.5012 0.0000 0.0000 As
```


Number 1: raw total energy -0.215 hartree per atom, total moment 0.00 μB per formula unit. Number 2: raw total energy -0.253 hartree per atom, total moment 0.00 μB per formula unit. Number 3: raw total energy -0.252 hartree per atom, total moment 0.00 μB per formula unit. Number 4: raw total energy -0.241 hartree per atom, total moment 0.22 μB per formula unit.